BiS (PBE-GGA, relaxed); V = 113.14 Å³/cell; DOS at the Fermi energy = 0.4 states/eV per cell; energy relative to the elements, uncorrected = -0.4 eV per formula unit; space-group type = P-1, No. 2
1.0
3.963 0.000 0.000
0.001 3.976 0.000
1.974 1.808 7.179
Bi S
2 2
direct
0.112 0.111 0.278 Bi
0.888 0.889 0.722 Bi
0.356 0.338 0.783 S
0.644 0.662 0.217 S